(1)
First-principles (GGA-PBEsol) data for AsIr after structural relaxation, as listed in Alexandria via LeMat-Bulk.

Lattice parameters (Å, degrees): 5.5396 5.5396 5.5396 150.33 131.86 57.58
Element x y z (fractional)
As 0.3507 0.1007 0.2500
As 0.6493 0.8993 0.7500
Ir 0.1239 0.3739 0.7500
Ir 0.8761 0.6261 0.2500

- DFT formation energy (eV per atom) = 0.209
- total moment (μB per atom) = 0.000
- space-group type = No. 74

=====

(2)
First-principles (GGA-PBEsol) data for As3Ir after structural relaxation, as listed in Alexandria via LeMat-Bulk.

Lattice parameters (Å, degrees): 5.2044 5.2044 5.2044 116.57 116.57 116.57
Element x y z (fractional)
As 0.0000 0.5000 0.5000
As 0.5000 0.0000 0.5000
As 0.5000 0.5000 0.0000
Ir 0.0000 0.0000 0.0000

- DFT formation energy (eV per atom) = 0.473
- polymorph energy (0 for the lowest one) (meV/atom) = 906.8
- total moment (μB per atom) = 0.000
- space-group type = No. 166

=====

(3)
First-principles (GGA-PBEsol) data for AsIr after structural relaxation, as listed in Alexandria via LeMat-Bulk.

Lattice parameters (Å, degrees): 5.0577 5.0577 5.0577 136.70 136.70 62.90
Element x y z (fractional)
As 0.3750 0.6250 0.7500
As 0.6250 0.3750 0.2500
Ir 0.1250 0.8750 0.2500
Ir 0.8750 0.1250 0.7500

- DFT formation energy (eV per atom) = 0.294
- total moment (μB per atom) = 0.000
- space-group type = No. 141

=====

(4)
First-principles (GGA-PBEsol) data for AsIr after structural relaxation, as listed in Alexandria via LeMat-Bulk.

Lattice parameters (Å, degrees): 2.9644 2.9644 3.4209 90.00 90.00 90.00
Element x y z (fractional)
As 0.0000 0.0000 0.0000
Ir 0.5000 0.5000 0.5000

- DFT formation energy (eV per atom) = 0.225
- total moment (μB per atom) = 0.000
- space-group type = No. 123

=====

(5)
First-principles (GGA-PBEsol) data for As3Ir after structural relaxation, as listed in Alexandria via LeMat-Bulk.

Lattice parameters (Å, degrees): 4.6193 4.6193 3.1648 90.00 90.00 103.30
Element x y z (fractional)
As 0.0000 0.0000 0.0000
As 0.0000 0.5000 0.5000
As 0.5000 0.0000 0.5000
Ir 0.5000 0.5000 0.0000

- DFT formation energy (eV per atom) = 0.380
- polymorph energy (0 for the lowest one) (meV/atom) = 814.5
- total moment (μB per atom) = 0.000
- space-group type = No. 65

=====

(6)
First-principles (GGA-PBEsol) data for As3Ir after structural relaxation, as listed in Alexandria via LeMat-Bulk.

Lattice parameters (Å, degrees): 7.3554 7.3554 7.3554 109.47 109.47 109.47
Element x y z (fractional)
As 0.1461 0.4940 0.3478
As 0.1461 0.7983 0.6522
As 0.2017 0.3478 0.8539
As 0.3478 0.1461 0.4940
As 0.3478 0.8539 0.2017
As 0.4940 0.3478 0.1461
As 0.5060 0.6522 0.8539
As 0.6522 0.1461 0.7983
As 0.6522 0.8539 0.5060
As 0.7983 0.6522 0.1461
As 0.8539 0.2017 0.3478
As 0.8539 0.5060 0.6522
Ir 0.0000 0.0000 0.5000
Ir 0.0000 0.5000 0.0000
Ir 0.5000 0.0000 0.0000
Ir 0.5000 0.5000 0.5000

- DFT formation energy (eV per atom) = -0.434
- polymorph energy (0 for the lowest one) (meV/atom) = 0.0
- total moment (μB per atom) = 0.000
- space-group type = No. 204

=====

(7)
First-principles (GGA-PBEsol) data for As3Ir after structural relaxation, as listed in Alexandria via LeMat-Bulk.

Lattice parameters (Å, degrees): 5.3094 5.3094 5.2672 90.00 90.00 94.22
Element x y z (fractional)
As 0.0185 0.9815 0.7500
As 0.0245 0.4867 0.2500
As 0.4867 0.0245 0.7500
As 0.5133 0.9755 0.2500
As 0.9755 0.5133 0.7500
As 0.9815 0.0185 0.2500
Ir 0.4740 0.5260 0.2500
Ir 0.5260 0.4740 0.7500

- DFT formation energy (eV per atom) = 0.232
- polymorph energy (0 for the lowest one) (meV/atom) = 666.5
- total moment (μB per atom) = 0.000
- space-group type = No. 63

=====

(8)
First-principles (GGA-PBEsol) data for AsIr after structural relaxation, as listed in Alexandria via LeMat-Bulk.

Lattice parameters (Å, degrees): 4.4261 4.4261 4.5804 105.31 105.31 46.58
Element x y z (fractional)
As 0.1129 0.1129 0.3032
As 0.8871 0.8871 0.6968
Ir 0.3879 0.3879 0.1856
Ir 0.6121 0.6121 0.8144

- DFT formation energy (eV per atom) = 0.074
- total moment (μB per atom) = 0.000
- space-group type = No. 12